Entry 1:
Entry from the Alexandria database: Tb2CoP3Rh4 after structural relaxation (GGA-PBE).

Results
V ... 160.9 Å³ per cell
E_form ... -0.960 eV/atom
Mass density ... 9.097 g/cm³
DOS(E_F) ... 5.57 states/eV per cell

```
Tb2CoP3Rh4
1.0
-2.1626 -3.2829 -0.9844
2.6292 -2.3358 2.0135
-5.3141 1.0535 8.1612
P Rh Co Tb
3 4 1 2
direct
0.0000 0.5000 0.1382
0.0000 0.0000 0.5000
0.5000 0.0000 0.8618
0.5000 0.0000 0.6283
0.0000 0.0000 0.0000
0.5000 0.5000 0.0000
0.0000 0.5000 0.3717
0.5000 0.5000 0.5000
0.5000 0.0000 0.2547
0.0000 0.5000 0.7453
```

***

Entry 2:
Entry from the Alexandria database: LiNdTh2N4 after structural relaxation (GGA-PBE).

Results
V ... 254.9 Å³ per cell
Mass density ... 8.746 g/cm³
Uncorrected formation energy ... -1.32 eV/atom

```
LiNdTh2N4
1.0
-0.9965 3.4256 -0.7328
-5.1713 -3.3472 0.4358
-0.5298 2.3312 11.6178
N Th Li Nd
8 4 2 2
direct
0.2605 0.5210 0.3857
0.7395 0.4790 0.8857
0.4562 0.9123 0.7500
0.7395 0.4790 0.6143
0.0000 0.0000 0.5000
0.0000 0.0000 0.0000
0.5438 0.0877 0.2500
0.2605 0.5210 0.1143
0.3683 0.7366 0.5602
0.6317 0.2634 0.0602
0.6317 0.2634 0.4398
0.3683 0.7366 0.9398
0.8367 0.6734 0.7500
0.1633 0.3266 0.2500
0.8987 0.7975 0.2500
0.1013 0.2025 0.7500
```

***

Entry 3:
Entry from the Alexandria database: LaTiS3 after structural relaxation (GGA-PBE).

Results
V ... 404.1 Å³ per cell
Mass density ... 4.651 g/cm³
DOS(E_F) ... 8.60 states/eV per cell
Uncorrected formation energy ... -1.78 eV/atom

```
LaTiS3
1.0
3.7851 0.0000 0.0000
0.0000 8.0086 0.0000
0.0000 0.0000 13.3306
Ti La S
4 4 12
direct
0.7500 0.1473 0.4494
0.7500 0.6473 0.0506
0.2500 0.3527 0.9494
0.2500 0.8527 0.5506
0.7500 0.4217 0.6704
0.7500 0.9217 0.8296
0.2500 0.0783 0.1704
0.2500 0.5783 0.3296
0.2500 0.9739 0.3867
0.7500 0.5261 0.8867
0.2500 0.2027 0.7877
0.2500 0.7027 0.7123
0.2500 0.4739 0.1133
0.2500 0.3354 0.5074
0.7500 0.1646 0.0074
0.7500 0.7973 0.2123
0.7500 0.0261 0.6133
0.2500 0.8354 0.9926
0.7500 0.2973 0.2877
0.7500 0.6646 0.4926
```

***

Entry 4:
Entry from the Alexandria database: Pm3DyAl2 after structural relaxation (GGA-PBE).

Results
Energy above the most stable polymorph in this dataset ... 78 meV/atom
V ... 331.7 Å³ per cell
E_form ... -0.188 eV/atom
Mass density ... 6.522 g/cm³
DOS(E_F) ... 13.12 states/eV per cell

```
Pm3DyAl2
1.0
4.9269 0.0000 0.0000
0.0000 8.8818 0.0000
-2.4634 -4.4409 7.5803
Al Pm Dy
4 6 2
direct
0.3451 0.8452 0.6904
0.6549 0.1548 0.3096
0.3454 0.3452 0.6904
0.6546 0.6548 0.3096
0.1757 0.4257 0.3515
0.5000 0.2500 0.0000
0.5000 0.7500 0.0000
0.8243 0.0743 0.6485
0.8243 0.5743 0.6485
0.1757 0.9257 0.3515
0.0000 0.5000 0.0000
0.0000 0.0000 0.0000
```

***

Computed total DFT energy (no corrections) (eV/cell) in order:
-71.60, -130.79, -136.47, -54.93